{
  "formula": "Sr2ScBe",
  "functional": "PBE",
  "state": "relaxed",
  "lattice_angstrom": [[11.140, 0.000, 0.000], [0.000, 11.140, 0.000], [5.570, 5.570, 2.527]],
  "species": ["Sc", "Sc", "Sr", "Sr", "Sr", "Sr", "Be", "Be"],
  "frac_coords": [[0.000, 0.000, 0.000], [0.750, 0.250, 0.500], [0.474, 0.125, 0.250], [0.276, 0.625, 0.250], [0.375, 0.526, 0.750], [0.875, 0.724, 0.750], [0.500, 0.500, 0.000], [0.250, 0.750, 0.500]],
  "formation_energy_ev_per_atom": 0.60
}

=====

{
  "formula": "BaLiMg2Tl2",
  "functional": "PBE",
  "state": "relaxed",
  "lattice_angstrom": [[-0.958, -4.001, 2.783], [3.074, -0.355, -3.885], [6.367, 1.861, 4.867]],
  "species": ["Ba", "Li", "Mg", "Mg", "Tl", "Tl"],
  "frac_coords": [[0.000, 0.000, 0.000], [0.000, 0.000, 0.500], [0.333, 0.667, 0.647], [0.667, 0.333, 0.353], [0.333, 0.667, 0.276], [0.667, 0.333, 0.724]],
  "formation_energy_ev_per_atom": -0.23
}

=====

{
  "formula": "PaCr2Ga",
  "functional": "PBE",
  "state": "relaxed",
  "lattice_angstrom": [[-1.476, -3.000, 2.914], [2.237, -3.779, 0.618], [2.201, -0.680, 3.791]],
  "species": ["Cr", "Cr", "Pa", "Ga"],
  "frac_coords": [[0.750, 0.750, 0.750], [0.250, 0.250, 0.250], [0.500, 0.500, 0.500], [0.000, 0.000, 0.000]],
  "polymorph_energy_mev_per_atom": 16.7,
  "formation_energy_ev_per_atom": 0.06
}

=====

{
  "formula": "BaTmPb",
  "functional": "PBE",
  "state": "relaxed",
  "lattice_angstrom": [[-1.337, 2.985, 3.602], [-5.031, -0.503, -1.451], [2.068, -3.319, 3.518]],
  "species": ["Pb", "Tm", "Ba"],
  "frac_coords": [[0.167, 0.000, 0.000], [0.166, 0.667, 0.333], [0.666, 0.333, 0.667]],
  "formation_energy_ev_per_atom": -0.26
}

=====

{
  "formula": "PmHoFeC",
  "functional": "PBE",
  "state": "relaxed",
  "lattice_angstrom": [[-3.293, 1.346, -1.152], [-1.467, -3.435, 0.180], [-2.953, 1.814, 10.558]],
  "species": ["Pm", "Pm", "Ho", "Ho", "Fe", "Fe", "C", "C"],
  "frac_coords": [[0.750, 0.750, 0.203], [0.250, 0.250, 0.797], [0.250, 0.750, 0.500], [0.750, 0.250, 0.500], [0.750, 0.250, 0.000], [0.250, 0.750, 0.000], [0.750, 0.750, 0.930], [0.250, 0.250, 0.070]],
  "formation_energy_ev_per_atom": 0.42
}

=====

{
  "formula": "Pr2YGa",
  "functional": "PBE",
  "state": "relaxed",
  "lattice_angstrom": [[-1.938, 1.324, -2.940], [-2.713, -5.935, 1.515], [-6.431, 4.545, 6.288]],
  "species": ["Pr", "Pr", "Pr", "Pr", "Y", "Y", "Ga", "Ga"],
  "frac_coords": [[0.364, 0.728, 0.550], [0.636, 0.272, 0.450], [0.364, 0.728, 0.950], [0.636, 0.272, 0.050], [0.941, 0.884, 0.250], [0.059, 0.116, 0.750], [0.743, 0.482, 0.750], [0.257, 0.518, 0.250]],
  "polymorph_energy_mev_per_atom": 0.0,
  "formation_energy_ev_per_atom": -0.26
}